Material: La4GaN
Method: DFT, GGA-PBE
State: optimized geometry

```
data_La4GaN
_chemical_formula_sum 'La8 Ga2 N2'
_cell_length_a 5.3335
_cell_length_b 9.7544
_cell_length_c 7.0986
_cell_angle_alpha 90.00
_cell_angle_beta 90.00
_cell_angle_gamma 90.00
_symmetry_space_group_name_H-M 'P m m n'
_symmetry_Int_Tables_number 59
loop_
_symmetry_equiv_pos_as_xyz
'x,y,z'
'-x,-y,-z'
'-x+1/2,-y+1/2,z'
'x+1/2,y+1/2,-z'
'x+1/2,-y,-z'
'-x+1/2,y,z'
'-x,y+1/2,-z'
'x,-y+1/2,z'
loop_
_atom_site_label
_atom_site_type_symbol
_atom_site_fract_x
_atom_site_fract_y
_atom_site_fract_z
La1 La 0.2500 0.0502 0.2080
La2 La 0.2500 0.2500 0.7121
La3 La 0.2500 0.7500 0.6016
Ga1 Ga 0.2500 0.7500 0.0251
N1 N 0.2500 0.2500 0.3854
```

Summary:
The calculation puts the total energy at -5.770 eV per atom. As for the density of states at the Fermi level: 1.04 states/eV/atom. The calculation puts the spin magnetization at 0.0 μB/cell. The value obtained for the raw formation energy is -0.59 eV per atom.

Material: La2Ga2N
Method: DFT, GGA-PBE
State: optimized geometry

```
data_La2Ga2N
_chemical_formula_sum 'La4 Ga4 N2'
_cell_length_a 6.8759
_cell_length_b 6.8759
_cell_length_c 4.7786
_cell_angle_alpha 90.00
_cell_angle_beta 90.00
_cell_angle_gamma 90.00
_symmetry_space_group_name_H-M 'P 4/m b m'
_symmetry_Int_Tables_number 127
_symmetry_space_group_name_Hall '-P 4 2ab'
loop_
_atom_site_label
_atom_site_type_symbol
_atom_site_fract_x
_atom_site_fract_y
_atom_site_fract_z
La1 La 0.1610 0.3390 0.0000
Ga1 Ga 0.1477 0.6477 0.5000
N1 N 0.0000 0.0000 0.5000
```

Summary:
The calculation puts the total energy at -4.707 eV per atom. For the excess energy over the best structure of this formula in the dataset, the calculation gives 0 meV per atom. As for the density of states at the Fermi level: 0.72 states/eV/atom. The calculation puts the spin magnetization at 0.0 μB/cell. The value obtained for the raw formation energy is 0.14 eV per atom.

Material: LaGa2N
Method: DFT, GGA-PBE
State: optimized geometry

```
data_LaGa2N
_chemical_formula_sum 'La4 Ga8 N4'
_cell_length_a 8.1605
_cell_length_b 8.1605
_cell_length_c 4.8847
_cell_angle_alpha 90.00
_cell_angle_beta 90.00
_cell_angle_gamma 90.00
_symmetry_space_group_name_H-M 'I -4 2 d'
_symmetry_Int_Tables_number 122
_symmetry_space_group_name_Hall 'I -4 2bw'
loop_
_atom_site_label
_atom_site_type_symbol
_atom_site_fract_x
_atom_site_fract_y
_atom_site_fract_z
La1 La 0.0000 0.0000 0.0000
Ga1 Ga 0.1646 0.2500 0.6250
N1 N 0.0000 0.0000 0.5000
```

Summary:
The calculation puts the total energy at -4.937 eV per atom. As for the density of states at the Fermi level: 0.44 states/eV/atom. The calculation puts the spin magnetization at 0.0 μB/cell. The value obtained for the raw formation energy is -0.11 eV per atom.

- What is the spin magnetization in the second record?
  0.0 μB/cell

- Number 2 is which compound?
  La2Ga2N

- Which value of raw formation energy does entry 1 give?
  -0.59 eV per atom